(1)
{
  "formula": "SrTeBr2",
  "functional": "GGA-PBE",
  "state": "optimized geometry",
  "lattice": [[-2.5959, 1.5927, -4.0022], [3.1872, -2.4342, -3.0348], [-3.4629, -4.9022, 0.2953]],
  "species": ["Sr", "Te", "Br", "Br"],
  "frac_coords": [[0.0000, 0.0000, 0.5652], [0.5000, 0.5000, 0.6540], [0.0000, 0.0000, 0.0539], [0.5000, 0.5000, 0.2269]],
  "e_form_raw_ev_per_atom": -1.076,
  "dos_ef_per_ev_fu": 0.14,
  "polymorph_energy_kcal_per_mol_atoms": 4.29
}



(2)
{
  "formula": "Pm6SmHo2Th",
  "functional": "GGA-PBE",
  "state": "optimized geometry",
  "lattice": [[-8.1432, 4.0295, 3.4456], [-4.1564, -7.0877, -3.2782], [3.6380, -0.9830, 8.0036]],
  "species": ["Pm", "Pm", "Pm", "Pm", "Pm", "Pm", "Pm", "Pm", "Pm", "Pm", "Pm", "Pm", "Sm", "Sm", "Ho", "Ho", "Ho", "Ho", "Th", "Th"],
  "frac_coords": [[0.0585, 0.1090, 0.7597], [0.4415, 0.2403, 0.8910], [0.9415, 0.8910, 0.2403], [0.5585, 0.7597, 0.1090], [0.3144, 0.9859, 0.4246], [0.1856, 0.5754, 0.0141], [0.6856, 0.0141, 0.5754], [0.8144, 0.4246, 0.9859], [0.1186, 0.7025, 0.4857], [0.3814, 0.5143, 0.2975], [0.8814, 0.2975, 0.5143], [0.6186, 0.4857, 0.7025], [0.2500, 0.4064, 0.5936], [0.7500, 0.5936, 0.4064], [0.4488, 0.8013, 0.7100], [0.0512, 0.2900, 0.1987], [0.5512, 0.1987, 0.2900], [0.9488, 0.7100, 0.8013], [0.2500, 0.9692, 0.0308], [0.7500, 0.0308, 0.9692]],
  "dos_ef_per_ev_fu": 14.46,
  "formation_energy_ev_per_atom": 0.14
}



(3)
{
  "formula": "Tm4InAg2Au",
  "functional": "GGA-PBE",
  "state": "optimized geometry",
  "lattice": [[-4.7126, 1.0950, -1.6359], [-1.3510, -1.0823, -4.8049], [-4.6194, -7.5457, 0.2842]],
  "species": ["Tm", "Tm", "Tm", "Tm", "In", "Ag", "Ag", "Au"],
  "frac_coords": [[0.3803, 0.3803, 0.8591], [0.8705, 0.8705, 0.3884], [0.1295, 0.1295, 0.6116], [0.6197, 0.6197, 0.1409], [0.0000, 0.0000, 0.0000], [0.7440, 0.7440, 0.7681], [0.2560, 0.2560, 0.2319], [0.5000, 0.5000, 0.5000]],
  "dos_ef_per_ev_fu": 5.85,
  "formation_energy_ev_per_atom": -0.51
}



(4)
{
  "formula": "Ac3Pr2Ag3",
  "functional": "GGA-PBE",
  "state": "optimized geometry",
  "lattice": [[3.8849, 0.0000, -0.6257], [-0.2141, 5.5271, -1.3291], [-0.0382, -0.0104, 12.1369]],
  "species": ["Ac", "Ac", "Ac", "Pr", "Pr", "Ag", "Ag", "Ag"],
  "frac_coords": [[0.3794, 0.3794, 0.7589], [0.6206, 0.6206, 0.2411], [0.5000, 0.0000, 0.0000], [0.2685, 0.7685, 0.5371], [0.7315, 0.2315, 0.4629], [0.8781, 0.8781, 0.7561], [0.0000, 0.5000, 0.0000], [0.1219, 0.1219, 0.2439]],
  "dos_ef_per_ev_fu": 8.64,
  "formation_energy_ev_per_atom": -0.18
}



(5)
{
  "formula": "Fe2AsIr",
  "functional": "GGA-PBE",
  "state": "optimized geometry",
  "lattice": [[-2.0467, -7.0265, -3.7992], [-0.4973, -8.0436, -1.7462], [-3.1742, -7.4956, -1.3175]],
  "species": ["As", "Fe", "Fe", "Ir"],
  "frac_coords": [[0.7500, 0.7500, 0.7500], [0.0026, 0.0026, 0.0026], [0.4974, 0.4974, 0.4974], [0.2500, 0.2500, 0.2500]],
  "dos_ef_per_ev_fu": 5.45,
  "formation_energy_ev_per_atom": 0.15
}



(6)
{
  "formula": "K4Np3CuS8",
  "functional": "GGA-PBE",
  "state": "optimized geometry",
  "lattice": [[-3.3665, 5.9593, 4.1753], [-7.0982, -0.5417, -4.9501], [2.4265, -6.6630, 3.7687]],
  "species": ["K", "K", "K", "K", "Np", "Np", "Np", "Cu", "S", "S", "S", "S", "S", "S", "S", "S"],
  "frac_coords": [[0.5000, 0.0000, 0.0000], [0.5000, 0.0000, 0.5000], [0.0000, 0.0000, 0.0000], [0.0000, 0.0000, 0.5000], [0.5000, 0.5000, 0.0000], [0.5000, 0.5000, 0.5000], [0.0000, 0.5000, 0.5000], [0.0000, 0.5000, 0.0000], [0.2320, 0.6948, 0.9623], [0.2339, 0.6963, 0.4679], [0.2659, 0.2974, 0.5319], [0.7303, 0.6948, 0.9623], [0.2697, 0.3052, 0.0377], [0.7341, 0.7026, 0.4681], [0.7661, 0.3037, 0.5321], [0.7680, 0.3052, 0.0377]],
  "e_form_raw_ev_per_atom": -1.202,
  "dos_ef_per_ev_fu": 29.92
}



(7)
{
  "formula": "KPbCl2",
  "functional": "GGA-PBE",
  "state": "optimized geometry",
  "lattice": [[-0.5583, -4.2230, 4.4518], [-1.7941, -5.7252, 1.4027], [5.0954, -1.8739, -1.1420]],
  "species": ["Pb", "K", "Cl", "Cl"],
  "frac_coords": [[0.2449, 0.2449, 0.1247], [0.4896, 0.4896, 0.6256], [0.0056, 0.0056, 0.1251], [0.7599, 0.7599, 0.6246]],
  "e_form_raw_ev_per_atom": -1.138,
  "dos_ef_per_ev_fu": 1.68,
  "polymorph_energy_kcal_per_mol_atoms": 2.55
}



(8)
{
  "formula": "La2CuReN",
  "functional": "GGA-PBE",
  "state": "optimized geometry",
  "lattice": [[5.2366, 0.0000, 0.0000], [0.0000, 3.8781, 0.0000], [0.0000, 0.0000, 5.2366]],
  "species": ["Re", "N", "Cu", "La", "La"],
  "frac_coords": [[0.0000, 0.5000, 0.0000], [0.0000, 0.0000, 0.0000], [0.5000, 0.5000, 0.5000], [0.0000, 0.0000, 0.5000], [0.5000, 0.0000, 0.0000]],
  "e_form_raw_ev_per_atom": -0.461,
  "dos_ef_per_ev_fu": 2.20
}



(9)
{
  "formula": "NdLu",
  "functional": "GGA-PBE",
  "state": "optimized geometry",
  "lattice": [[4.0195, 0.0000, 0.0000], [0.0000, 4.0195, 0.0000], [0.0000, 0.0000, 4.0195]],
  "species": ["Lu", "Nd"],
  "frac_coords": [[0.0000, 0.0000, 0.0000], [0.5000, 0.5000, 0.5000]],
  "dos_ef_per_ev_fu": 3.06,
  "formation_energy_ev_per_atom": 0.08,
  "polymorph_energy_kcal_per_mol_atoms": 1.39
}



(10)
{
  "formula": "Nd3Bi4Rh3",
  "functional": "GGA-PBE",
  "state": "optimized geometry",
  "lattice": [[8.7293, 0.0000, 0.0000], [-2.9098, 8.2301, 0.0000], [-2.9098, -4.1150, 7.1275]],
  "species": ["Nd", "Nd", "Nd", "Nd", "Nd", "Nd", "Bi", "Bi", "Bi", "Bi", "Bi", "Bi", "Bi", "Bi", "Rh", "Rh", "Rh", "Rh", "Rh", "Rh"],
  "frac_coords": [[0.6250, 0.7500, 0.8750], [0.8750, 0.2500, 0.6250], [0.1250, 0.3750, 0.2500], [0.3750, 0.1250, 0.7500], [0.2500, 0.8750, 0.1250], [0.7500, 0.6250, 0.3750], [0.0000, 0.0000, 0.3412], [0.5000, 0.3412, 0.5000], [0.6588, 0.1588, 0.1588], [0.0000, 0.0000, 0.8412], [0.8412, 0.5000, 0.0000], [0.5000, 0.8412, 0.5000], [0.3412, 0.5000, 0.0000], [0.1588, 0.6588, 0.6588], [0.1250, 0.7500, 0.3750], [0.3750, 0.2500, 0.1250], [0.6250, 0.8750, 0.2500], [0.8750, 0.6250, 0.7500], [0.2500, 0.3750, 0.6250], [0.7500, 0.1250, 0.8750]],
  "dos_ef_per_ev_fu": 10.74,
  "formation_energy_ev_per_atom": -0.65
}



(11)
{
  "formula": "MnCu3Hg",
  "functional": "GGA-PBE",
  "state": "optimized geometry",
  "lattice": [[4.8013, 0.0000, 0.0000], [0.0000, 4.8013, 0.0000], [0.0000, 0.0000, 4.8013]],
  "species": ["Mn", "Hg", "Cu", "Cu", "Cu"],
  "frac_coords": [[0.5000, 0.5000, 0.5000], [0.0000, 0.0000, 0.0000], [0.0000, 0.5000, 0.0000], [0.0000, 0.0000, 0.5000], [0.5000, 0.0000, 0.0000]],
  "dos_ef_per_ev_fu": 3.13,
  "formation_energy_ev_per_atom": 1.10,
  "polymorph_energy_kcal_per_mol_atoms": 3.45
}



(12)
{
  "formula": "DyYGaNi",
  "functional": "GGA-PBE",
  "state": "optimized geometry",
  "lattice": [[4.9421, 0.0000, 0.0000], [2.4711, 4.2800, 0.0000], [2.4711, 1.4267, 4.0352]],
  "species": ["Y", "Ni", "Ga", "Dy"],
  "frac_coords": [[0.7500, 0.7500, 0.7500], [0.0000, 0.0000, 0.0000], [0.5000, 0.5000, 0.5000], [0.2500, 0.2500, 0.2500]],
  "dos_ef_per_ev_fu": 3.45,
  "formation_energy_ev_per_atom": -0.45,
  "polymorph_energy_kcal_per_mol_atoms": 1.22
}



(13)
{
  "formula": "AlPtO",
  "functional": "GGA-PBE",
  "state": "optimized geometry",
  "lattice": [[-1.4070, -0.4984, -2.4218], [-0.8849, -1.1869, 2.4293], [-3.6119, 4.9171, 1.0866]],
  "species": ["O", "Al", "Pt"],
  "frac_coords": [[0.3333, 0.6667, 0.5249], [0.6667, 0.3333, 0.4032], [0.0000, 0.0000, 0.0719]],
  "e_form_raw_ev_per_atom": -1.749,
  "dos_ef_per_ev_fu": 0.96,
  "polymorph_energy_kcal_per_mol_atoms": 0.38
}



(14)
{
  "formula": "Na2PmTlO4",
  "functional": "GGA-PBE",
  "state": "optimized geometry",
  "lattice": [[-2.9020, 1.3415, -1.4149], [2.1153, -1.1571, -5.4357], [-3.1652, -4.7313, 2.0061]],
  "species": ["Na", "Na", "Pm", "Tl", "O", "O", "O", "O"],
  "frac_coords": [[0.5000, 0.0000, 0.5000], [0.0000, 0.5000, 0.5000], [0.5000, 0.5000, 0.0000], [0.0000, 0.0000, 0.0000], [0.5000, 0.2342, 0.2243], [0.5000, 0.7658, 0.7757], [0.0000, 0.2655, 0.7748], [0.0000, 0.7345, 0.2252]],
  "e_form_raw_ev_per_atom": -1.836
}



(15)
{
  "formula": "Cu2Pd9Au",
  "functional": "GGA-PBE",
  "state": "optimized geometry",
  "lattice": [[3.9331, 0.0000, 0.0000], [0.0000, 3.9331, 0.0000], [0.0000, 0.0000, 11.7493]],
  "species": ["Cu", "Cu", "Pd", "Pd", "Pd", "Pd", "Pd", "Pd", "Pd", "Pd", "Pd", "Au"],
  "frac_coords": [[0.0000, 0.0000, 0.3376], [0.0000, 0.0000, 0.6624], [0.5000, 0.5000, 0.0000], [0.5000, 0.5000, 0.3381], [0.5000, 0.5000, 0.6619], [0.5000, 0.0000, 0.1756], [0.5000, 0.0000, 0.5000], [0.5000, 0.0000, 0.8244], [0.0000, 0.5000, 0.1756], [0.0000, 0.5000, 0.5000], [0.0000, 0.5000, 0.8244], [0.0000, 0.0000, 0.0000]],
  "dos_ef_per_ev_fu": 12.26,
  "formation_energy_ev_per_atom": -0.06
}



(16)
{
  "formula": "SmNiB4",
  "functional": "GGA-PBE",
  "state": "optimized geometry",
  "lattice": [[6.8950, -0.0048, 0.0000], [-1.5408, 6.7206, 0.0000], [-2.6771, -3.3579, 5.3943]],
  "species": ["Sm", "Sm", "Sm", "Sm", "Ni", "Ni", "Ni", "Ni", "B", "B", "B", "B", "B", "B", "B", "B", "B", "B", "B", "B", "B", "B", "B", "B"],
  "frac_coords": [[0.7500, 0.2500, 0.5000], [0.2500, 0.7500, 0.5000], [0.2044, 0.2044, 0.0000], [0.7956, 0.7956, 0.0000], [0.5000, 0.2713, 0.7713], [0.5000, 0.7287, 0.2287], [0.7287, 0.5000, 0.2287], [0.2713, 0.5000, 0.7713], [0.4175, 0.4175, 0.5309], [0.8866, 0.8866, 0.4691], [0.5825, 0.1134, 0.0000], [0.1134, 0.5825, 0.0000], [0.5825, 0.5825, 0.4691], [0.1134, 0.1134, 0.5309], [0.8866, 0.4175, 0.0000], [0.4175, 0.8866, 0.0000], [0.1119, 0.2758, 0.3877], [0.8881, 0.7242, 0.6123], [0.8881, 0.2758, 0.1639], [0.1119, 0.7242, 0.8361], [0.7242, 0.8881, 0.6123], [0.2758, 0.1119, 0.3877], [0.7242, 0.1119, 0.8361], [0.2758, 0.8881, 0.1639]],
  "dos_ef_per_ev_fu": 1.56,
  "formation_energy_ev_per_atom": -0.56,
  "polymorph_energy_kcal_per_mol_atoms": 0.00
}



(17)
{
  "formula": "Mn2AuBr",
  "functional": "GGA-PBE",
  "state": "optimized geometry",
  "lattice": [[0.4760, 1.6662, 4.3439], [0.9711, 4.5247, 0.6756], [-3.2530, 2.8492, 1.7812]],
  "species": ["Mn", "Mn", "Au", "Br"],
  "frac_coords": [[0.2500, 0.2500, 0.2500], [0.7500, 0.7500, 0.7500], [0.5000, 0.5000, 0.5000], [0.0000, 0.0000, 0.0000]],
  "e_form_raw_ev_per_atom": 0.405,
  "dos_ef_per_ev_fu": 4.47,
  "polymorph_energy_kcal_per_mol_atoms": 7.84
}



(18)
{
  "formula": "AsRuSe4",
  "functional": "GGA-PBE",
  "state": "optimized geometry",
  "lattice": [[0.0000, 3.9541, 3.9541], [3.9541, 0.0000, 3.9541], [3.9541, 3.9541, 0.0000]],
  "species": ["As", "Ru", "Se", "Se", "Se", "Se"],
  "frac_coords": [[0.7500, 0.7500, 0.7500], [0.0000, 0.0000, 0.0000], [0.8767, 0.3744, 0.3744], [0.3744, 0.3744, 0.8767], [0.3744, 0.8767, 0.3744], [0.3744, 0.3744, 0.3744]],
  "e_form_raw_ev_per_atom": 1.120,
  "dos_ef_per_ev_fu": 6.20
}



(19)
{
  "formula": "Cs3As2Se5",
  "functional": "GGA-PBE",
  "state": "optimized geometry",
  "lattice": [[7.0311, 0.0000, 0.0000], [3.5156, 12.3003, 3.3138], [3.5155, 6.4591, 10.9799]],
  "species": ["Cs", "Cs", "Cs", "Cs", "Cs", "Cs", "As", "As", "As", "As", "Se", "Se", "Se", "Se", "Se", "Se", "Se", "Se", "Se", "Se"],
  "frac_coords": [[0.2500, 0.0000, 0.0000], [0.7500, 0.0000, 0.0000], [0.3733, 0.5115, 0.7419], [0.6267, 0.4885, 0.2581], [0.8733, 0.7419, 0.5115], [0.1267, 0.2581, 0.4885], [0.1589, 0.8505, 0.8317], [0.8411, 0.1495, 0.1683], [0.6589, 0.8317, 0.8505], [0.3411, 0.1683, 0.1495], [0.2500, 0.5000, 0.5000], [0.7500, 0.5000, 0.5000], [0.4819, 0.7681, 0.7681], [0.0181, 0.2319, 0.2319], [0.5181, 0.2319, 0.2319], [0.9819, 0.7681, 0.7681], [0.1079, 0.6925, 0.0917], [0.8921, 0.3075, 0.9083], [0.6079, 0.0917, 0.6925], [0.3921, 0.9083, 0.3075]],
  "e_form_raw_ev_per_atom": -0.557,
  "dos_ef_per_ev_fu": 1.48
}



(20)
{
  "formula": "ZrW",
  "functional": "GGA-PBE",
  "state": "optimized geometry",
  "lattice": [[-4.3282, 1.0785, -1.3034], [1.7850, -4.1526, -1.0794], [-1.7123, -1.8222, 4.1784]],
  "species": ["W", "W", "Zr", "Zr"],
  "frac_coords": [[0.0000, 0.0000, 0.0000], [0.0000, 0.0000, 0.5000], [0.3333, 0.6667, 0.2500], [0.6667, 0.3333, 0.7500]],
  "dos_ef_per_ev_fu": 3.10,
  "formation_energy_ev_per_atom": 0.76
}



(21)
{
  "formula": "PuAl4Hg",
  "functional": "GGA-PBE",
  "state": "optimized geometry",
  "lattice": [[-3.9363, 0.9209, -3.7869], [-4.1327, -3.6326, -0.6389], [-5.1312, 1.3318, 1.6062]],
  "species": ["Al", "Al", "Al", "Al", "Hg", "Pu"],
  "frac_coords": [[0.6262, 0.6262, 0.1213], [0.6262, 0.1213, 0.6262], [0.6262, 0.6262, 0.6262], [0.1213, 0.6262, 0.6262], [0.2500, 0.2500, 0.2500], [0.0000, 0.0000, 0.0000]],
  "dos_ef_per_ev_fu": 11.13,
  "formation_energy_ev_per_atom": -0.05
}



(22)
{
  "formula": "K4HoNp3Se8",
  "functional": "GGA-PBE",
  "state": "optimized geometry",
  "lattice": [[8.5136, 0.0000, 0.0000], [0.0000, 9.0933, 0.4008], [-4.2568, -4.2511, 6.0239]],
  "species": ["K", "K", "K", "K", "Ho", "Np", "Np", "Np", "Se", "Se", "Se", "Se", "Se", "Se", "Se", "Se"],
  "frac_coords": [[0.5000, 0.0000, 0.0000], [0.5000, 0.0000, 0.5000], [0.0000, 0.0000, 0.0000], [0.0000, 0.0000, 0.5000], [0.0000, 0.5000, 0.0000], [0.5000, 0.5000, 0.0000], [0.5000, 0.5000, 0.5000], [0.0000, 0.5000, 0.5000], [0.2332, 0.7056, 0.9725], [0.2332, 0.7056, 0.4664], [0.2653, 0.2958, 0.5305], [0.7392, 0.7056, 0.9725], [0.2608, 0.2944, 0.0275], [0.7347, 0.7042, 0.4695], [0.7668, 0.2944, 0.5336], [0.7668, 0.2944, 0.0275]],
  "e_form_raw_ev_per_atom": -1.379,
  "dos_ef_per_ev_fu": 25.54
}



(23)
{
  "formula": "Pr3Nd2Y3",
  "functional": "GGA-PBE",
  "state": "optimized geometry",
  "lattice": [[-4.2585, -3.7651, 0.2392], [5.3099, -1.4674, 3.7766], [-6.5780, 8.2310, 12.4470]],
  "species": ["Pr", "Pr", "Pr", "Pr", "Pr", "Pr", "Nd", "Nd", "Nd", "Nd", "Y", "Y", "Y", "Y", "Y", "Y"],
  "frac_coords": [[0.9257, 0.8515, 0.4054], [0.0743, 0.1485, 0.9054], [0.9257, 0.8515, 0.0946], [0.0743, 0.1485, 0.5946], [0.7388, 0.4776, 0.2500], [0.2612, 0.5224, 0.7500], [0.7792, 0.5584, 0.8700], [0.2208, 0.4416, 0.3700], [0.7792, 0.5584, 0.6300], [0.2208, 0.4416, 0.1300], [0.6215, 0.2429, 0.4507], [0.3785, 0.7571, 0.9507], [0.6215, 0.2429, 0.0493], [0.3785, 0.7571, 0.5493], [0.4633, 0.9266, 0.2500], [0.5367, 0.0734, 0.7500]],
  "dos_ef_per_ev_fu": 11.61,
  "formation_energy_ev_per_atom": 0.12,
  "polymorph_energy_kcal_per_mol_atoms": 2.41
}